[1]
# CdFe2Cl, optimized geometry, DFT GGA-PBE
data_CdFe2Cl
_chemical_formula_sum 'Cd2 Fe4 Cl2'
_space_group_name_H-M_alt 'I 4/m m m'
_space_group_IT_number 139
_space_group_name_Hall '-I 4 2'
_cell_length_a 3.817
_cell_length_b 3.817
_cell_length_c 9.661
_cell_angle_alpha 90.00
_cell_angle_beta 90.00
_cell_angle_gamma 90.00
loop_
_atom_site_label
_atom_site_fract_x
_atom_site_fract_y
_atom_site_fract_z
_atom_site_occupancy
Cd1 0.000 0.000 0.000 1
Fe1 0.000 0.500 0.250 1
Cl1 0.000 0.000 0.500 1
# - Uncorrected formation energy: 658 meV/atom

[2]
# HoSc8Bi2, optimized geometry, DFT GGA-PBE
data_HoSc8Bi2
_chemical_formula_sum 'Ho2 Sc16 Bi4'
_space_group_name_H-M_alt 'C 1 2/m 1'
_space_group_IT_number 12
_cell_length_a 8.151
_cell_length_b 14.206
_cell_length_c 5.532
_cell_angle_alpha 90.00
_cell_angle_beta 117.14
_cell_angle_gamma 90.00
loop_
_space_group_symop_operation_xyz
'x,y,z'
'-x,-y,-z'
'-x,y,-z'
'x,-y,z'
'x+1/2,y+1/2,z'
'-x+1/2,-y+1/2,-z'
'-x+1/2,y+1/2,-z'
'x+1/2,-y+1/2,z'
loop_
_atom_site_label
_atom_site_fract_x
_atom_site_fract_y
_atom_site_fract_z
_atom_site_occupancy
Ho1 0.000 0.000 0.000 1
Sc1 0.000 0.220 0.000 1
Sc2 0.082 0.500 0.801 1
Sc3 0.207 0.110 0.629 1
Bi1 0.000 0.305 0.500 1
# - Formation energy from the elements: -103 meV/atom

[3]
# ScInHg2, optimized geometry, DFT GGA-PBE
data_ScInHg2
_chemical_formula_sum 'Sc4 In4 Hg8'
_space_group_name_H-M_alt 'I -4 2 d'
_space_group_IT_number 122
_space_group_name_Hall 'I -4 2bw'
_cell_length_a 7.993
_cell_length_b 7.993
_cell_length_c 6.262
_cell_angle_alpha 90.00
_cell_angle_beta 90.00
_cell_angle_gamma 90.00
loop_
_atom_site_label
_atom_site_fract_x
_atom_site_fract_y
_atom_site_fract_z
_atom_site_occupancy
Sc1 0.000 0.000 0.000 1
In1 0.000 0.000 0.500 1
Hg1 0.247 0.750 0.125 1
# - Formation energy from the elements: -102 meV/atom

One value per record, in order, for M_tot: 6.13 0.00 0.00 μB per formula unit.